No. 1
A plane-wave DFT calculation with SCAN was carried out for Fe at its PBEsol-relaxed geometry.

Cell lengths 3.3945, 3.3945, 3.3945 Å; angles 60.00, 60.00, 60.00 degrees
Positions (direct):
Fe: 0.1250 0.1250 0.1250
Fe: 0.8750 0.8750 0.8750

Computed properties:
Raw total energy ... -16.439 eV/atom
Theoretical density ... 6.71 Mg/m³
D(E_F) ... 2.4 states/eV per cell
Total moment ... 0.00 Bohr magnetons per cell
Energy above the most stable polymorph in this dataset ... 1690.4 meV/atom

---

No. 2
A plane-wave DFT calculation with SCAN was carried out for Si2HgMo at its PBEsol-relaxed geometry.

Cell lengths 2.8206, 2.8206, 8.3868 Å; angles 90.00, 90.00, 103.97 degrees
Positions (direct):
Si: 0.0000 0.0000 0.0000
Si: 0.5000 0.5000 0.2244
Hg: 0.0000 0.0000 0.5082
Mo: 0.5000 0.5000 0.7880

Computed properties:
Raw total energy ... -30.243 eV/atom
Theoretical density ... 9.05 Mg/m³
D(E_F) ... 1.7 states/eV per cell
Uncorrected formation energy ... 0.53 eV per atom
Total moment ... 0.00 Bohr magnetons per cell

---

No. 3
A plane-wave DFT calculation with SCAN was carried out for BeAsSe2 at its PBEsol-relaxed geometry.

Cell lengths 3.7374, 3.7374, 5.2973 Å; angles 90.00, 90.00, 90.00 degrees
Positions (direct):
Be: 0.0000 0.0000 0.0000
As: 0.5000 0.5000 0.5539
Se: 0.0000 0.0000 0.5673
Se: 0.5000 0.5000 0.0590

Computed properties:
Raw total energy ... -16.186 eV/atom
Theoretical density ... 5.43 Mg/m³
D(E_F) ... 1.3 states/eV per cell
Uncorrected formation energy ... -0.01 eV per atom
Total moment ... 0.00 Bohr magnetons per cell
Energy above the most stable polymorph in this dataset ... 112.9 meV/atom